Compound: BaAl2SbO8
Source: Alexandria
Functional: PBE
Structure: relaxed

Unit cell a=5.615 b=5.615 c=7.327 alpha=90.00 beta=90.00 gamma=120.00
Atoms (fractional coordinates):
O1 0.318 0.159 0.333
O2 0.841 0.159 0.333
Al1 0.333 0.667 0.720
O3 0.333 0.667 0.966
O4 0.841 0.682 0.333
Sb1 0.000 0.000 0.500
O5 0.667 0.333 0.034
O6 0.682 0.841 0.667
O7 0.159 0.318 0.667
Al2 0.667 0.333 0.280
O8 0.159 0.841 0.667
Ba1 0.000 0.000 0.000

Output
As for the space group: P-3m1 (164). As for the formation energy from raw total energies: -177.6 kJ per mole of atoms. The calculation puts the density at 3.7 Mg/m³.


Compound: Ca2AlPt3
Source: Alexandria
Functional: PBE
Structure: relaxed

Unit cell a=5.239 b=5.239 c=5.239 alpha=65.22 beta=65.22 gamma=65.22
Atoms (fractional coordinates):
Ca1 0.375 0.375 0.375
Pt1 0.500 0.000 0.000
Pt2 0.000 0.500 0.000
Ca2 0.625 0.625 0.625
Pt3 0.000 0.000 0.500
Al1 0.000 0.000 0.000

Output
As for the space group: R-3m (166). As for the excess energy over the best structure of this formula in the dataset: 0 kJ/mol of formula units. The calculation puts the density at 10.2 Mg/m³. The formation enthalpy at 0 K comes out at -1.044 eV per atom.


Compound: LaCu4Sb3O12
Source: Alexandria
Functional: PBE
Structure: relaxed

Unit cell a=6.826 b=6.826 c=6.826 alpha=106.66 beta=106.66 gamma=106.66
Atoms (fractional coordinates):
O1 0.673 0.500 0.327
O2 0.996 0.263 0.345
O3 0.327 0.673 0.500
Sb1 0.000 0.571 0.429
Cu1 0.099 0.500 0.901
O4 0.907 0.500 0.093
Cu2 0.901 0.099 0.500
Cu3 0.500 0.901 0.099
O5 0.004 0.655 0.737
O6 0.345 0.996 0.263
O7 0.093 0.907 0.500
La1 0.000 0.000 0.000
Cu4 0.500 0.500 0.500
O8 0.655 0.737 0.004
Sb2 0.571 0.429 0.000
Sb3 0.429 0.000 0.571
O9 0.737 0.004 0.655
O10 0.263 0.345 0.996
O11 0.500 0.327 0.673
O12 0.500 0.093 0.907

Output
As for the space group: R32 (155). As for the formation energy from raw total energies: -126.0 kJ per mole of atoms. The calculation puts the density at 5.9 Mg/m³.


Compound: Ag2AsSe
Source: Alexandria
Functional: PBE
Structure: relaxed

Unit cell a=3.740 b=3.675 c=6.800 alpha=57.58 beta=90.00 gamma=90.00
Atoms (fractional coordinates):
Se1 0.500 0.750 0.750
Ag1 0.000 0.507 0.494
Ag2 0.000 0.993 0.006
As1 0.500 0.250 0.250

Output
As for the space group: P2/m (10). As for the formation energy from raw total energies: 18.7 kJ per mole of atoms. The calculation puts the density at 7.8 Mg/m³.


Compound: AgOsW2
Source: Alexandria
Functional: PBE
Structure: relaxed

Unit cell a=4.886 b=4.886 c=4.889 alpha=79.57 beta=79.57 gamma=33.81
Atoms (fractional coordinates):
Ag1 0.498 0.498 0.496
Os1 0.742 0.742 0.770
W1 0.005 0.005 0.985
W2 0.255 0.255 0.249

Output
As for the space group: Cm (8). As for the excess energy over the best structure of this formula in the dataset: 48 kJ/mol of formula units. The calculation puts the density at 17.3 Mg/m³. The formation enthalpy at 0 K comes out at 0.485 eV per atom.


Compound: Ca12As3N5
Source: Alexandria
Functional: PBE
Structure: relaxed

Unit cell a=13.458 b=13.458 c=13.458 alpha=109.47 beta=109.47 gamma=109.47
Atoms (fractional coordinates):
Ca1 0.918 0.099 0.619
As1 0.125 0.250 0.875
Ca2 0.119 0.701 0.520
As2 0.375 0.750 0.625
Ca3 0.918 0.818 0.799
N1 0.750 0.625 0.375
N2 0.250 0.375 0.625
N3 0.125 0.750 0.375
Ca4 0.901 0.818 0.520
Ca5 0.381 0.401 0.082
As3 0.875 0.125 0.250
N4 0.500 0.500 0.000
As4 0.375 0.625 0.250
N5 0.750 0.125 0.875
Ca6 0.520 0.318 0.901
Ca7 0.582 0.701 0.682
Ca8 0.119 0.418 0.099
As5 0.875 0.750 0.125
Ca9 0.980 0.599 0.182
N6 0.250 0.875 0.125
Ca10 0.418 0.119 0.599
Ca11 0.799 0.480 0.381
Ca12 0.901 0.082 0.881
Ca13 0.082 0.182 0.201
Ca14 0.201 0.682 0.082
As6 0.750 0.375 0.125
Ca15 0.619 0.020 0.201
As7 0.125 0.875 0.750
N7 0.125 0.375 0.250
N8 0.625 0.875 0.250
Ca16 0.401 0.381 0.582
As8 0.750 0.875 0.625
Ca17 0.020 0.619 0.701
Ca18 0.020 0.401 0.818
Ca19 0.682 0.480 0.599
As9 0.625 0.250 0.375
Ca20 0.182 0.082 0.701
N9 0.000 0.000 0.000
Ca21 0.619 0.599 0.918
N10 0.875 0.250 0.625
Ca22 0.599 0.980 0.682
Ca23 0.182 0.099 0.980
N11 0.500 0.000 0.500
N12 0.000 0.500 0.500
Ca24 0.381 0.980 0.799
Ca25 0.480 0.799 0.881
Ca26 0.818 0.918 0.299
Ca27 0.520 0.201 0.119
N13 0.625 0.750 0.875
N14 0.500 0.500 0.500
N15 0.500 0.000 0.000
Ca28 0.881 0.582 0.901
Ca29 0.401 0.020 0.318
Ca30 0.599 0.619 0.418
Ca31 0.682 0.201 0.582
Ca32 0.299 0.881 0.980
N16 0.375 0.125 0.750
Ca33 0.318 0.520 0.401
Ca34 0.418 0.299 0.318
N17 0.375 0.250 0.125
Ca35 0.201 0.520 0.619
Ca36 0.818 0.901 0.020
N18 0.875 0.625 0.750
Ca37 0.480 0.682 0.099
Ca38 0.299 0.418 0.818
Ca39 0.099 0.918 0.119
Ca40 0.881 0.299 0.480
Ca41 0.701 0.119 0.020
Ca42 0.980 0.381 0.299
Ca43 0.099 0.182 0.480
Ca44 0.082 0.901 0.381
Ca45 0.582 0.881 0.401
N19 0.000 0.500 0.000
As10 0.250 0.625 0.875
Ca46 0.799 0.318 0.918
Ca47 0.318 0.799 0.418
N20 0.000 0.000 0.500
As11 0.250 0.125 0.375
As12 0.625 0.375 0.750
Ca48 0.701 0.582 0.182

Output
As for the space group: Ia-3d (230). As for the formation energy from raw total energies: -90.2 kJ per mole of atoms. The calculation puts the density at 2.7 Mg/m³.